Here is a crystal of FeNiP2 relaxed with PBEsol from Alexandria. Energies are from SCAN.

Properties
Symmetry   R-3m
Formation energy from the elements   -106 meV per atom
ρ   6.7 g/cm³

POSCAR file:
```
FeNiP2
1.0
2.7030 0.0000 0.0000
-1.3515 2.3409 0.0000
0.0000 0.0000 20.6767
Fe Ni P
3 3 6
Direct
0.0000 0.0000 0.0000
0.3333 0.6667 0.6667
0.6667 0.3333 0.3333
0.0000 0.0000 0.5000
0.3333 0.6667 0.1667
0.6667 0.3333 0.8333
0.0000 0.0000 0.2523
0.0000 0.0000 0.7477
0.3333 0.6667 0.4144
0.3333 0.6667 0.9189
0.6667 0.3333 0.0811
0.6667 0.3333 0.5856
```

---

Here is a crystal of FeNiP2S relaxed with PBEsol from Alexandria. Energies are from SCAN.

Properties
Symmetry   P4/mmm
Formation energy without anion corrections   787 meV per atom
ρ   4.4 g/cm³

POSCAR file:
```
FeNiP2S
1.0
4.0788 0.0000 0.0000
0.0000 4.0788 0.0000
0.0000 0.0000 4.7134
Fe Ni P S
1 1 2 1
Direct
0.0000 0.0000 0.0000
0.5000 0.5000 0.5000
0.0000 0.5000 0.0000
0.5000 0.0000 0.0000
0.0000 0.0000 0.5000
```

---

Number 1: Fermi-level density of states 6.4 states/eV per cell. Number 2: Fermi-level density of states 3.1 states/eV per cell.